# CeErTm3

A relaxed CeErTm3 crystal (PBE, Alexandria).

Properties
Energy of formation in kJ/mol of atoms: 14.8
Space-group type: C2/c
E above lowest polymorph in kcal/mol of atoms: 0.00
DOS(E_F) in states/eV/atom: 1.86
Crystal system: monoclinic

The structure in CIF format:
```
data_CeErTm3
_chemical_formula_sum 'Ce4 Er4 Tm12'
_cell_length_a 8.470
_cell_length_b 8.470
_cell_length_c 9.809
_cell_angle_alpha 96.47
_cell_angle_beta 96.47
_cell_angle_gamma 117.81
_space_group_name_H-M_alt 'P 1'
_space_group_IT_number 1
loop_
_space_group_symop_operation_xyz
'x,y,z'
loop_
_atom_site_label
_atom_site_fract_x
_atom_site_fract_y
_atom_site_fract_z
_atom_site_occupancy
Ce1 0.191 0.283 0.044 1
Ce2 0.283 0.191 0.544 1
Ce3 0.717 0.809 0.456 1
Ce4 0.809 0.717 0.956 1
Er1 0.011 0.989 0.250 1
Er2 0.399 0.601 0.750 1
Er3 0.601 0.399 0.250 1
Er4 0.989 0.011 0.750 1
Tm1 0.026 0.581 0.178 1
Tm2 0.117 0.741 0.551 1
Tm3 0.259 0.883 0.949 1
Tm4 0.301 0.502 0.381 1
Tm5 0.419 0.974 0.322 1
Tm6 0.498 0.699 0.119 1
Tm7 0.502 0.301 0.881 1
Tm8 0.581 0.026 0.678 1
Tm9 0.699 0.498 0.619 1
Tm10 0.741 0.117 0.051 1
Tm11 0.883 0.259 0.449 1
Tm12 0.974 0.419 0.822 1
```